## NaCa2Gd (PBE)

Data for a relaxed NaCa2Gd crystal.

a b c (Å): 3.6288 3.6288 13.5297
angles (deg): 82.29 82.29 60.00
With the nearest neighbours (Å) after each atom.
Sites, in units of the cell vectors:
Ca  0.9142  0.9142  0.2573  1 Gd 3.44, 6 Ca 3.63
Gd  0.0000  0.0000  0.0000  2 Ca 3.44, 6 Gd 3.63
Na  0.5000  0.5000  0.5000  6 Na 3.63, 6 Ca 3.86
Ca  0.0858  0.0858  0.7427  1 Gd 3.44, 6 Ca 3.63

## Properties
relative energy among the computed polymorphs	158.8	meV per atom
energy of formation	0.238	eV per atom
E_tot	-4.613	eV/atom
density of states at the Fermi level	6.5	states/eV per cell
SG	R-3m